Record 1
Pr2Dy8Mg | GGA-PBE | optimized geometry

```
11
Lattice="8.1553 -3.3232 0.0000 8.1553 3.3232 0.0000 -1.3742 0.0000 6.5634" Properties=species:S:1:pos:R:3 pbc="T T T"
Pr 2.6268 0.0000 1.9219
Pr 12.3095 0.0000 4.6415
Dy 6.6813 1.5889 0.7454
Dy 2.8874 0.0000 5.3341
Dy 8.2549 1.5889 5.8180
Dy 5.8277 0.0000 3.8280
Dy 9.1085 0.0000 2.7353
Dy 6.6813 -1.5889 0.7454
Dy 12.0489 0.0000 1.2292
Dy 8.2549 -1.5889 5.8180
Mg -0.6871 0.0000 3.2817
```

Calculated values
Raw total energy, eV per atom: -4.227
Formation enthalpy at 0 K, eV per atom: 0.134
Crystal system: monoclinic
Magnetization, μB per formula unit: 0.00
E above lowest polymorph, meV per atom: 23

***

Record 2
CdGaSn3 | GGA-PBE | optimized geometry

```
5
Lattice="5.3659 0.0000 0.0000 0.0000 5.3659 0.0000 0.0000 0.0000 5.3659" Properties=species:S:1:pos:R:3 pbc="T T T"
Cd 0.0000 0.0000 0.0000
Ga 2.6829 2.6829 2.6829
Sn 0.0000 2.6829 2.6829
Sn 2.6829 0.0000 2.6829
Sn 2.6829 2.6829 0.0000
```

Calculated values
Raw total energy, eV per atom: -2.790
Formation enthalpy at 0 K, eV per atom: 0.400
Crystal system: cubic
Magnetization, μB per formula unit: 0.00
E above lowest polymorph, meV per atom: 0